Sr8C PBE optimized geometry; DOS at the Fermi energy = 1.0952 states/eV per atom; symmetry = I4/mmm, No. 139; magnetic moment = 0.000 μB per atom; calculated formation energy = 428 meV/atom
1.0
-7.3527 7.3527 1.9872
7.3527 -7.3527 1.9872
7.3527 7.3527 -1.9872
Sr C
8 1
Direct
0.0000 0.3326 0.3326
0.0000 0.6674 0.6674
0.3326 0.0000 0.3326
0.3884 0.3884 0.7769
0.3884 0.6116 0.0000
0.6116 0.3884 0.0000
0.6116 0.6116 0.2231
0.6674 0.0000 0.6674
0.0000 0.0000 0.0000